No. 1
TbGaAu2 SCAN PBEsol geometry; symmetry = Fm-3m (225); formation enthalpy at 0 K = -0.7803 eV/atom; electronic total energy = -51.1360 eV/atom; crystal system = cubic; M_tot = 0.00 μB/atom
1.0
0.0000 3.3712 3.3712
3.3712 0.0000 3.3712
3.3712 3.3712 0.0000
Tb Ga Au
1 1 2
direct
0.0000 0.0000 0.0000 Tb
0.5000 0.5000 0.5000 Ga
0.2500 0.2500 0.2500 Au
0.7500 0.7500 0.7500 Au

No. 2
TbGaAu SCAN PBEsol geometry; symmetry = C2/m (12); formation enthalpy at 0 K = -1.0147 eV/atom; electronic total energy = -45.1033 eV/atom; crystal system = monoclinic; M_tot = 0.00 μB/atom
1.0
5.1683 -2.2159 0.0000
5.1683 2.2159 0.0000
-4.6810 0.0000 5.2644
Tb Ga Au
2 2 2
direct
0.0389 0.0389 0.2997 Tb
0.9611 0.9611 0.7003 Tb
0.3424 0.3424 0.8979 Ga
0.6576 0.6576 0.1021 Ga
0.3239 0.3239 0.2841 Au
0.6761 0.6761 0.7159 Au

Q: Among the records above, which one has the highest formation enthalpy at 0 K?
A: TbGaAu2

Q: The highest electronic total energy belongs to which entry?
A: TbGaAu

Q: electronic total energy of number 2 (TbGaAu)?
A: -45.1033 eV/atom

Q: Among the records above, which one has the highest electronic total energy?
A: TbGaAu